1.
Below is an optimized crystal structure of As2PtS, with properties calculated at the PBE level.

Geometry as extended XYZ:
```
8
Lattice="5.707 0.000 0.000 0.000 5.707 0.000 2.854 2.854 5.821" Properties=species:S:1:pos:R:3 pbc="T T T"
As 4.410 1.427 1.455
As 1.297 4.280 1.455
As 4.280 4.151 4.366
As 7.134 7.263 4.366
S 2.854 2.854 0.000
S 2.854 5.707 2.910
Pt 0.000 0.000 0.000
Pt 5.707 2.854 2.910
```

Calculated values
theoretical density	6.60	Mg/m³
SG	No. 122

=====

2.
Below is an optimized crystal structure of AsPtS3, with properties calculated at the PBE level.

Geometry as extended XYZ:
```
5
Lattice="-2.330 4.032 -0.207 0.017 -0.229 -4.656 -4.037 -2.328 0.099" Properties=species:S:1:pos:R:3 pbc="T T T"
As 0.000 0.000 0.000
Pt -3.175 0.738 -2.382
S 0.009 -0.114 -2.328
S -2.019 -1.164 0.050
S -1.165 2.016 -0.103
```

Calculated values
theoretical density	6.00	Mg/m³
distance to the lowest polymorph of the same formula	398	meV/atom
SG	No. 221

=====

3.
Below is an optimized crystal structure of As2Pt2S, with properties calculated at the PBE level.

Geometry as extended XYZ:
```
5
Lattice="-0.487 -1.634 -3.837 -2.978 -2.569 1.472 -5.543 1.672 -2.307" Properties=species:S:1:pos:R:3 pbc="T T T"
As -3.881 -1.032 -3.663
As -5.126 -1.499 -1.009
S 0.000 0.000 0.000
Pt -2.658 -1.185 -1.456
Pt -6.349 -1.346 -3.216
```

Calculated values
theoretical density	9.83	Mg/m³
distance to the lowest polymorph of the same formula	43	meV/atom
SG	No. 139

=====

4.
Below is an optimized crystal structure of As3PtS, with properties calculated at the PBE level.

Geometry as extended XYZ:
```
5
Lattice="4.908 0.000 0.000 0.000 4.908 0.000 0.000 0.000 4.908" Properties=species:S:1:pos:R:3 pbc="T T T"
As 0.000 2.454 0.000
As 0.000 0.000 2.454
As 2.454 0.000 0.000
S 2.454 2.454 2.454
Pt 0.000 0.000 0.000
```

Calculated values
theoretical density	6.35	Mg/m³
distance to the lowest polymorph of the same formula	0	meV/atom
SG	No. 221

=====

5.
Below is an optimized crystal structure of AsPt3S, with properties calculated at the PBE level.

Geometry as extended XYZ:
```
5
Lattice="4.543 0.000 0.000 0.000 4.543 0.000 0.000 0.000 4.543" Properties=species:S:1:pos:R:3 pbc="T T T"
As 2.271 2.271 2.271
S 0.000 0.000 0.000
Pt 0.000 2.271 0.000
Pt 0.000 0.000 2.271
Pt 2.271 0.000 0.000
```

Calculated values
theoretical density	12.26	Mg/m³
distance to the lowest polymorph of the same formula	0	meV/atom
SG	No. 221

=====

6.
Below is an optimized crystal structure of AsPtS, with properties calculated at the PBE level.

Geometry as extended XYZ:
```
12
Lattice="-1.605 5.732 0.941 -3.357 -0.119 -5.003 -4.740 -1.857 3.224" Properties=species:S:1:pos:R:3 pbc="T T T"
As -5.198 0.548 2.636
As -3.258 4.809 -0.719
As -5.972 2.312 -0.516
As -4.977 -0.157 -3.077
S -4.485 3.182 -3.533
S -6.443 -1.102 -0.072
S -4.683 3.963 2.256
S -3.793 1.469 -0.328
Pt -7.220 0.951 1.194
Pt -6.529 1.817 -2.919
Pt -0.002 0.001 0.000
Pt -5.653 4.743 0.049
```

Calculated values
theoretical density	9.17	Mg/m³
SG	No. 198

=====

7.
Below is an optimized crystal structure of AsPtS, with properties calculated at the PBE level.

Geometry as extended XYZ:
```
6
Lattice="4.713 0.000 -1.208 0.000 4.615 0.000 -0.982 0.000 5.965" Properties=species:S:1:pos:R:3 pbc="T T T"
As 2.807 3.461 1.152
As 0.924 1.154 3.604
Pt 2.592 1.154 0.314
Pt 1.139 3.461 4.443
S 3.382 3.461 3.394
S 0.349 1.154 1.362
```

Calculated values
theoretical density	8.07	Mg/m³
SG	No. 63

=====

8.
Below is an optimized crystal structure of AsPtS, with properties calculated at the PBE level.

Geometry as extended XYZ:
```
18
Lattice="-2.307 0.640 -4.376 -4.214 -5.266 2.105 -6.652 6.284 3.618" Properties=species:S:1:pos:R:3 pbc="T T T"
Pt -3.260 -2.313 -1.136
Pt -9.031 -0.010 2.139
Pt -4.142 1.668 -0.792
Pt -8.147 2.967 -1.158
Pt -5.026 -1.309 2.504
Pt 0.000 0.000 0.000
As -5.715 -2.548 -1.171
As -9.578 2.208 0.814
As -8.745 -1.423 0.085
As -4.428 3.081 1.261
As -3.595 -0.550 0.533
As -7.458 4.206 2.517
S -6.472 1.191 -0.650
S -7.142 4.695 0.239
S -3.875 0.202 -2.741
S -9.298 1.456 4.088
S -6.701 0.467 1.997
S -6.031 -3.037 1.108
```

Calculated values
theoretical density	8.74	Mg/m³
SG	No. 2

=====

9.
Below is an optimized crystal structure of AsPt2S, with properties calculated at the PBE level.

Geometry as extended XYZ:
```
4
Lattice="0.000 3.172 3.172 3.172 0.000 3.172 3.172 3.172 0.000" Properties=species:S:1:pos:R:3 pbc="T T T"
As 3.172 3.172 3.172
S 0.000 0.000 0.000
Pt 1.586 1.586 1.586
Pt 4.758 4.758 4.758
```

Calculated values
theoretical density	12.93	Mg/m³
distance to the lowest polymorph of the same formula	249	meV/atom
SG	No. 225

=====

10.
Below is an optimized crystal structure of Sb2AsPtS, with properties calculated at the PBE level.

Geometry as extended XYZ:
```
5
Lattice="-4.833 -2.161 -0.517 -0.248 -0.506 4.435 -2.203 4.823 0.428" Properties=species:S:1:pos:R:3 pbc="T T T"
Sb -1.101 2.412 0.214
Sb -2.417 -1.081 -0.258
As 0.000 0.000 0.000
S -0.124 -0.253 2.218
Pt -3.642 1.078 2.173
```

Calculated values
theoretical density	7.16	Mg/m³
SG	No. 123

=====

11.
Below is an optimized crystal structure of ScAsPt2S, with properties calculated at the PBE level.

Geometry as extended XYZ:
```
5
Lattice="4.502 0.000 0.000 0.000 4.807 0.000 0.000 0.000 4.502" Properties=species:S:1:pos:R:3 pbc="T T T"
Sc 0.000 2.404 0.000
As 2.251 2.404 2.251
S 0.000 0.000 0.000
Pt 0.000 0.000 2.251
Pt 2.251 0.000 0.000
```

Calculated values
theoretical density	9.24	Mg/m³
SG	No. 123

=====

12.
Below is an optimized crystal structure of Sc6As2PtS3, with properties calculated at the PBE level.

Geometry as extended XYZ:
```
12
Lattice="3.759 0.000 0.000 0.000 7.635 0.201 -1.880 -2.277 7.992" Properties=species:S:1:pos:R:3 pbc="T T T"
Sc 0.000 5.516 5.486
Sc 1.880 3.689 2.796
Sc 1.880 -0.157 2.707
Sc 1.880 -0.341 7.992
Sc 0.000 5.700 0.200
Sc 0.000 1.669 5.397
As 1.880 3.587 5.490
As 0.000 1.772 2.703
Pt 1.880 0.000 0.000
S 1.880 3.818 0.101
S 1.880 -0.221 5.323
S 0.000 5.579 2.870
```

Calculated values
theoretical density	5.11	Mg/m³
SG	No. 12

=====

13.
Below is an optimized crystal structure of As2PtSeS, with properties calculated at the PBE level.

Geometry as extended XYZ:
```
5
Lattice="4.745 0.000 0.000 0.000 4.745 0.000 0.000 0.000 4.646" Properties=species:S:1:pos:R:3 pbc="T T T"
S 0.000 0.000 0.000
As 0.000 2.373 0.000
As 2.373 0.000 0.000
Se 0.000 0.000 2.323
Pt 2.373 2.373 2.323
```

Calculated values
theoretical density	7.24	Mg/m³
distance to the lowest polymorph of the same formula	151	meV/atom
SG	No. 123

=====

14.
Below is an optimized crystal structure of As2PtSeS, with properties calculated at the PBE level.

Geometry as extended XYZ:
```
5
Lattice="4.839 0.000 0.000 0.000 4.839 0.000 0.000 0.000 5.090" Properties=species:S:1:pos:R:3 pbc="T T T"
S 2.419 2.419 2.545
As 0.000 2.419 0.000
As 2.419 0.000 0.000
Se 0.000 0.000 2.545
Pt 0.000 0.000 0.000
```

Calculated values
theoretical density	6.35	Mg/m³
distance to the lowest polymorph of the same formula	0	meV/atom
SG	No. 123

=====

15.
Below is an optimized crystal structure of Sm4AsPtS2, with properties calculated at the PBE level.

Geometry as extended XYZ:
```
8
Lattice="4.077 0.000 0.000 0.000 7.178 -0.172 0.000 2.498 6.687" Properties=species:S:1:pos:R:3 pbc="T T T"
Sm 0.000 7.267 4.906
Sm 4.077 2.409 1.609
Sm 2.038 6.041 1.535
Sm 2.038 3.635 4.980
As 0.000 4.838 3.258
Pt 2.038 6.087 6.601
S 0.000 2.498 6.687
S 2.038 1.249 3.344
```

Calculated values
theoretical density	7.87	Mg/m³
SG	No. 10

=====

16.
Below is an optimized crystal structure of Sm6As2PtS3, with properties calculated at the PBE level.

Geometry as extended XYZ:
```
12
Lattice="-2.059 -0.250 3.533 -1.243 -8.065 -1.295 8.781 0.322 2.767" Properties=species:S:1:pos:R:3 pbc="T T T"
Sm 4.012 -7.268 1.825
Sm 0.831 -4.773 2.522
Sm 1.467 -0.725 3.179
Sm 6.391 -1.939 5.964
Sm -0.912 -6.054 -0.960
Sm 4.648 -3.220 2.482
As 3.319 -5.370 3.931
As 2.160 -2.624 1.074
Pt -1.030 -0.125 1.766
S -1.651 -4.158 1.119
S 3.898 -1.335 4.554
S 1.581 -6.659 0.451
```

Calculated values
theoretical density	7.54	Mg/m³
SG	No. 12

=====

17.
Below is an optimized crystal structure of Tb6As2PtS3, with properties calculated at the PBE level.

Geometry as extended XYZ:
```
12
Lattice="-0.174 3.276 2.319 -4.957 3.534 -5.367 -5.435 -5.808 4.318" Properties=species:S:1:pos:R:3 pbc="T T T"
Tb -8.228 0.469 -1.282
Tb -4.826 2.309 -0.146
Tb -2.338 0.533 2.552
Tb -6.820 -1.640 5.285
Tb -3.746 2.643 -4.016
Tb -5.740 -1.307 1.415
As -7.083 1.209 1.239
As -3.483 -0.207 0.030
Pt -0.087 1.638 1.159
S -2.566 3.405 -1.524
S -4.566 -0.529 3.885
S -6.000 1.531 -2.615
```

Calculated values
theoretical density	8.28	Mg/m³
SG	No. 12

=====

18.
Below is an optimized crystal structure of Tb4AsPtS2, with properties calculated at the PBE level.

Geometry as extended XYZ:
```
8
Lattice="-0.854 -2.231 3.207 6.637 -2.454 0.060 3.942 4.189 3.965" Properties=species:S:1:pos:R:3 pbc="T T T"
Tb 7.951 1.319 3.035
Tb 1.774 -1.815 4.196
Tb 5.556 -1.928 2.631
Tb 4.169 1.432 4.600
As 5.289 0.868 2.012
Pt 2.891 -2.342 1.633
S 3.942 4.189 3.965
S 1.544 0.979 3.586
```

Calculated values
theoretical density	8.62	Mg/m³
SG	No. 10

=====

19.
Below is an optimized crystal structure of Th6As3PtS2, with properties calculated at the PBE level.

Geometry as extended XYZ:
```
12
Lattice="4.136 0.000 0.000 0.000 8.445 0.259 -2.068 -2.477 8.843" Properties=species:S:1:pos:R:3 pbc="T T T"
Th 0.000 6.040 6.126
Th 2.068 4.032 3.141
Th 2.068 -0.071 2.975
Th 0.000 2.048 0.094
Th 2.068 3.920 9.007
Th 0.000 1.936 5.960
As 2.068 4.223 0.129
As 2.068 -0.229 5.937
As 0.000 6.197 3.164
Pt 2.068 0.000 0.000
S 2.068 3.984 6.066
S 0.000 1.985 3.035
```

Calculated values
theoretical density	10.00	Mg/m³
SG	No. 12

=====

20.
Below is an optimized crystal structure of Th4AsPtS2, with properties calculated at the PBE level.

Geometry as extended XYZ:
```
8
Lattice="4.114 0.000 0.000 0.000 7.151 -0.121 0.000 2.542 6.876" Properties=species:S:1:pos:R:3 pbc="T T T"
Th 0.000 7.276 5.100
Th 4.114 2.418 1.655
Th 2.057 6.054 1.600
Th 2.057 3.640 5.155
As 0.000 4.847 3.378
Pt 2.057 3.575 -0.060
S 0.000 2.542 6.876
S 2.057 1.271 3.438
```

Calculated values
theoretical density	10.30	Mg/m³
SG	No. 10

=====

21.
Below is an optimized crystal structure of Tl2AsPtS4, with properties calculated at the PBE level.

Geometry as extended XYZ:
```
16
Lattice="-3.415 -5.795 -1.335 4.779 -6.060 -3.534 0.538 -6.242 8.103" Properties=species:S:1:pos:R:3 pbc="T T T"
Tl -0.173 -5.183 5.326
Tl -2.705 -6.854 1.442
Tl 0.807 -11.556 4.060
Tl -0.615 -9.438 -1.494
As 1.804 -7.600 1.950
As -1.708 -2.898 -0.668
Pt 0.096 -10.497 1.283
Pt 0.000 0.000 0.000
S 2.660 -6.934 -3.070
S 0.959 -8.246 6.976
S 1.371 -15.932 3.939
S -1.190 -5.082 -1.378
S 2.215 -9.623 0.819
S -0.325 -8.493 2.410
S 0.626 -12.662 0.576
S 1.286 -5.416 2.661
```

Calculated values
theoretical density	5.22	Mg/m³
SG	No. 70

=====

22.
Below is an optimized crystal structure of Tm4AsPtS2, with properties calculated at the PBE level.

Geometry as extended XYZ:
```
8
Lattice="3.917 0.000 0.000 0.000 7.001 -0.206 0.000 2.396 6.388" Properties=species:S:1:pos:R:3 pbc="T T T"
Tm 0.000 7.057 4.680
Tm 3.917 2.341 1.501
Tm 1.958 5.860 1.414
Tm 1.958 3.538 4.767
As 0.000 4.699 3.091
Pt 1.958 5.897 6.284
S 0.000 2.396 6.388
S 1.958 1.198 3.194
```

Calculated values
theoretical density	9.47	Mg/m³
SG	No. 10

=====

23.
Below is an optimized crystal structure of Y6As2PtS3, with properties calculated at the PBE level.

Geometry as extended XYZ:
```
12
Lattice="-2.544 -2.874 -1.151 3.002 0.353 -7.513 6.300 -4.606 4.550" Properties=species:S:1:pos:R:3 pbc="T T T"
Y 6.105 -3.701 -4.253
Y 2.161 -3.252 -3.631
Y 0.652 -3.427 0.139
Y 4.481 -7.368 1.515
Y 2.275 0.241 -5.629
Y 4.596 -3.875 -0.484
As 4.092 -5.241 -2.932
As 2.665 -1.886 -1.182
Pt -1.272 -1.437 -0.576
S 0.229 -1.261 -4.332
S 2.553 -5.372 0.794
S 4.204 -1.755 -4.909
```

Calculated values
theoretical density	5.83	Mg/m³
SG	No. 12

=====

24.
Below is an optimized crystal structure of Sb3AsPt, with properties calculated at the PBE level.

Geometry as extended XYZ:
```
5
Lattice="5.245 0.000 0.000 0.000 5.245 0.000 0.000 0.000 5.245" Properties=species:S:1:pos:R:3 pbc="T T T"
Sb 0.000 2.622 0.000
Sb 0.000 0.000 2.622
Sb 2.622 0.000 0.000
As 2.622 2.622 2.622
Pt 0.000 0.000 0.000
```

Calculated values
theoretical density	7.31	Mg/m³
distance to the lowest polymorph of the same formula	0	meV/atom
SG	No. 221

=====

| no. | E_form (uncorrected) (eV per formula unit) |
| --- | --- |
| 1 | 0.1 |
| 2 | 5.3 |
| 3 | 0.8 |
| 4 | 4.0 |
| 5 | 2.5 |
| 6 | -1.2 |
| 7 | 0.5 |
| 8 | -1.0 |
| 9 | 0.6 |
| 10 | 4.2 |
| 11 | -1.2 |
| 12 | -18.7 |
| 13 | 4.7 |
| 14 | 3.9 |
| 15 | -13.1 |
| 16 | -20.4 |
| 17 | -20.5 |
| 18 | -13.1 |
| 19 | -17.8 |
| 20 | -12.2 |
| 21 | -1.0 |
| 22 | -12.9 |
| 23 | -20.5 |
| 24 | 2.7 |